Below is RbScH2N after structural relaxation, with properties calculated at the GGA-PBEsol level.

It has space group P4/mmm (No. 123), with a = 4.274 Å, b = 4.274 Å, c = 4.060 Å, α = 90.00°, β = 90.00° and γ = 90.00°. The distinct sites, in fractional coordinates, are Rb at (0.000, 0.000, 0.000), Sc at (0.500, 0.500, 0.500), H at (0.000, 0.500, 0.500) and N at (0.500, 0.500, 0.000).

The density of states at the Fermi level is 0.452 states/eV per atom. The crystal system is tetragonal. The value obtained for the total energy is -4.780 eV per atom.

=====

Below is Zr2TlAu after structural relaxation, with properties calculated at the GGA-PBEsol level.

It has space group Cmmm (No. 65), with a = 6.121 Å, b = 8.398 Å, c = 3.145 Å, α = 90.00°, β = 90.00° and γ = 90.00°. The distinct sites, in fractional coordinates, are Zr at (0.250, 0.250, 0.000), Tl at (0.000, 0.000, 0.500) and Au at (0.000, 0.500, 0.500).

The formation energy is -332 meV/atom. The density of states at the Fermi level is 0.945 states/eV per atom. The crystal system is orthorhombic. The value obtained for the total energy is -6.515 eV per atom.

=====

Below is Pd3Pb2S2 after structural relaxation, with properties calculated at the GGA-PBEsol level.

It has space group I2_13 (No. 199), with a = 8.252 Å, b = 8.252 Å, c = 8.252 Å, α = 90.00°, β = 90.00° and γ = 90.00°. The distinct sites, in fractional coordinates, are Pd at (0.000, 0.250, 0.991), Pb at (0.243, 0.257, 0.743) and S at (0.028, 0.472, 0.528).

The density of states at the Fermi level is 0.392 states/eV per atom. The crystal system is cubic. The value obtained for the total energy is -5.388 eV per atom. The uncorrected formation energy comes out at -3.07 eV per formula unit.

=====

Below is MgAg2 after structural relaxation, with properties calculated at the GGA-PBEsol level.

It has space group I4/mmm (No. 139), with a = 3.334 Å, b = 3.334 Å, c = 9.303 Å, α = 90.00°, β = 90.00° and γ = 90.00°. The distinct sites, in fractional coordinates, are Mg at (0.000, 0.000, 0.000) and Ag at (0.000, 0.000, 0.335).

The formation energy is -177 meV/atom. The density of states at the Fermi level is 0.315 states/eV per atom. The crystal system is tetragonal. The value obtained for the total energy is -2.957 eV per atom. For the relative energy among the computed polymorphs, the calculation gives 12.5 meV per atom.

=====

Below is LaTeSe2I after structural relaxation, with properties calculated at the GGA-PBEsol level.

It has space group P4/mmm (No. 123), with a = 5.491 Å, b = 5.491 Å, c = 6.468 Å, α = 90.00°, β = 90.00° and γ = 90.00°. The distinct sites, in fractional coordinates, are La at (0.000, 0.000, 0.000), Te at (0.000, 0.000, 0.500), Se at (0.000, 0.500, 0.000) and I at (0.500, 0.500, 0.500).

The density of states at the Fermi level is 1.758 states/eV per atom. The crystal system is tetragonal. The value obtained for the total energy is -3.782 eV per atom. The uncorrected formation energy comes out at -0.57 eV per formula unit.

=====

Below is Y3HfB after structural relaxation, with properties calculated at the GGA-PBEsol level.

It has space group Pm-3m (No. 221), with a = 4.999 Å, b = 4.999 Å, c = 4.999 Å, α = 90.00°, β = 90.00° and γ = 90.00°. The distinct sites, in fractional coordinates, are Y at (0.000, 0.000, 0.500), Hf at (0.500, 0.500, 0.500) and B at (0.000, 0.000, 0.000).

The formation energy is 293 meV/atom. The density of states at the Fermi level is 1.696 states/eV per atom. The crystal system is cubic. The value obtained for the total energy is -7.305 eV per atom.